A plane-wave DFT calculation with PBE was carried out for a geometry-optimized ZrTi12Bi6 structure. Values from VASP.

Output
The space group is No. 166. As for the size of the total moment: 3.60 Bohr magnetons per cell. The value obtained for the formation energy is 0.21 eV per atom.

```
&SYSTEM
  ibrav = 0, nat = 19, ntyp = 3
/
ATOMIC_SPECIES
Zr 91.22 Zr.upf
Ti 47.87 Ti.upf
Bi 208.98 Bi.upf
ATOMIC_POSITIONS crystal
Zr 0.0000 0.0000 0.0000
Ti 0.8957 0.1043 0.5000
Ti 0.8374 0.6151 0.6151
Ti 0.6151 0.6151 0.8374
Ti 0.3849 0.1626 0.3849
Ti 0.3849 0.3849 0.1626
Ti 0.1626 0.3849 0.3849
Ti 0.1043 0.5000 0.8957
Ti 0.5000 0.8957 0.1043
Ti 0.1043 0.8957 0.5000
Ti 0.8957 0.5000 0.1043
Ti 0.5000 0.1043 0.8957
Ti 0.6151 0.8374 0.6151
Bi 0.7387 0.2771 0.2771
Bi 0.2771 0.2771 0.7387
Bi 0.2771 0.7387 0.2771
Bi 0.7229 0.7229 0.2613
Bi 0.2613 0.7229 0.7229
Bi 0.7229 0.2613 0.7229
CELL_PARAMETERS angstrom
7.8821 -0.0866 -0.1220
-2.0378 7.6147 -0.1220
-2.0378 -2.6248 7.1490
```

A plane-wave DFT calculation with PBE was carried out for a geometry-optimized Ba3Th structure. Values from VASP.

Output
The space group is No. 221. As for the size of the total moment: 0.70 Bohr magnetons per cell. The value obtained for the formation energy is 0.44 eV per atom. As for the energy relative to the lowest polymorph listed for this composition: 1.1 kJ/mol of atoms.

```
&SYSTEM
  ibrav = 0, nat = 4, ntyp = 2
/
ATOMIC_SPECIES
Ba 137.33 Ba.upf
Th 232.04 Th.upf
ATOMIC_POSITIONS crystal
Ba 0.0000 0.5000 0.5000
Ba 0.5000 0.0000 0.5000
Ba 0.5000 0.5000 0.0000
Th 0.0000 0.0000 0.0000
CELL_PARAMETERS angstrom
5.8062 0.0000 0.0000
0.0000 5.8062 0.0000
0.0000 0.0000 5.8062
```

A plane-wave DFT calculation with PBE was carried out for a geometry-optimized MnSnPS structure. Values from VASP.

Output
The space group is No. 8. As for the size of the total moment: 4.12 Bohr magnetons per cell. As for the energy relative to the lowest polymorph listed for this composition: 3.1 kJ/mol of atoms. Its energy relative to the elements, uncorrected is -0.23 eV per atom.

```
&SYSTEM
  ibrav = 0, nat = 4, ntyp = 4
/
ATOMIC_SPECIES
Mn 54.94 Mn.upf
Sn 118.71 Sn.upf
P 30.97 P.upf
S 32.06 S.upf
ATOMIC_POSITIONS crystal
Mn 0.9662 0.6808 0.1186
Sn 0.9804 0.1877 0.6428
P 0.4911 0.9431 0.9057
S 0.4391 0.4169 0.3276
CELL_PARAMETERS angstrom
3.7333 -0.1007 -0.3278
-1.7728 3.2924 0.1993
-1.3549 -1.1242 6.5053
```

A plane-wave DFT calculation with PBE was carried out for a geometry-optimized La2TaW structure. Values from VASP.

Output
The space group is No. 65. As for the size of the total moment: 0.00 Bohr magnetons per cell. The value obtained for the formation energy is 0.80 eV per atom. As for the energy relative to the lowest polymorph listed for this composition: 47.2 kJ/mol of atoms.

```
&SYSTEM
  ibrav = 0, nat = 4, ntyp = 3
/
ATOMIC_SPECIES
La 138.91 La.upf
Ta 180.95 Ta.upf
W 183.84 W.upf
ATOMIC_POSITIONS crystal
La 0.0000 0.0000 0.9870
La 0.0000 0.0000 0.5130
Ta 0.5000 0.5000 0.2500
W 0.5000 0.5000 0.7500
CELL_PARAMETERS angstrom
3.0370 -0.0095 0.0000
-1.3468 2.7221 0.0000
0.0000 0.0000 11.0798
```

A plane-wave DFT calculation with PBE was carried out for a geometry-optimized IrPtS structure. Values from VASP.

Output
The space group is No. 10. As for the size of the total moment: 0.00 Bohr magnetons per cell. As for the energy relative to the lowest polymorph listed for this composition: 4.5 kJ/mol of atoms. Its energy relative to the elements, uncorrected is 0.02 eV per atom.

```
&SYSTEM
  ibrav = 0, nat = 6, ntyp = 3
/
ATOMIC_SPECIES
S 32.06 S.upf
Ir 192.22 Ir.upf
Pt 195.08 Pt.upf
ATOMIC_POSITIONS crystal
S 0.8413 0.0000 0.1686
S 0.1587 0.0000 0.8314
Ir 0.2660 0.5000 0.6264
Ir 0.7340 0.5000 0.3736
Pt 0.6992 0.0000 0.7262
Pt 0.3008 0.0000 0.2738
CELL_PARAMETERS angstrom
5.4393 0.0000 -0.0068
0.0000 3.3272 0.0000
-2.0995 0.0000 5.5712
```

A plane-wave DFT calculation with PBE was carried out for a geometry-optimized Li3TlAu structure. Values from VASP.

Output
The space group is No. 64. As for the size of the total moment: 0.00 Bohr magnetons per cell. The value obtained for the formation energy is -0.29 eV per atom. As for the energy relative to the lowest polymorph listed for this composition: 4.9 kJ/mol of atoms.

```
&SYSTEM
  ibrav = 0, nat = 20, ntyp = 3
/
ATOMIC_SPECIES
Li 6.94 Li.upf
Tl 204.38 Tl.upf
Au 196.97 Au.upf
ATOMIC_POSITIONS crystal
Li 0.6061 0.1275 0.0820
Li 0.8939 0.9179 0.8725
Li 0.3939 0.8725 0.9180
Li 0.1061 0.0821 0.1275
Li 0.6730 0.5969 0.9031
Li 0.8270 0.0969 0.4031
Li 0.3270 0.4031 0.0969
Li 0.1730 0.9031 0.5969
Li 0.6061 0.4179 0.3725
Li 0.8939 0.6275 0.5820
Li 0.3939 0.5821 0.6275
Li 0.1061 0.3725 0.4180
Tl 0.2500 0.2315 0.7685
Tl 0.7500 0.7685 0.2315
Tl 0.2500 0.7315 0.2685
Tl 0.7500 0.2685 0.7315
Au 0.8867 0.3725 0.1276
Au 0.6133 0.8725 0.6276
Au 0.1133 0.6275 0.8724
Au 0.3867 0.1275 0.3724
CELL_PARAMETERS angstrom
-4.9412 -4.2435 0.1373
4.8624 -5.6113 1.5642
-0.2320 0.5148 7.5671
```

A plane-wave DFT calculation with PBE was carried out for a geometry-optimized CaScB structure. Values from VASP.

Output
The space group is No. 6. As for the size of the total moment: 1.01 Bohr magnetons per cell. The value obtained for the formation energy is -0.03 eV per atom. As for the energy relative to the lowest polymorph listed for this composition: 19.5 kJ/mol of atoms.

```
&SYSTEM
  ibrav = 0, nat = 6, ntyp = 3
/
ATOMIC_SPECIES
Sc 44.96 Sc.upf
Ca 40.08 Ca.upf
B 10.81 B.upf
ATOMIC_POSITIONS crystal
Sc 0.6088 0.1197 0.8749
Sc 0.3841 0.6197 0.1006
Ca 0.8581 0.6198 0.6252
Ca 0.6759 0.1198 0.3089
B 0.0816 0.4676 0.9025
B 0.0816 0.7718 0.9025
CELL_PARAMETERS angstrom
3.4813 0.0000 0.0025
-0.0001 5.5242 0.0000
3.4680 0.0004 7.1082
```

A plane-wave DFT calculation with PBE was carried out for a geometry-optimized GeRhN2F structure. Values from VASP.

Output
The space group is No. 123. As for the size of the total moment: 0.01 Bohr magnetons per cell. As for the energy relative to the lowest polymorph listed for this composition: 4.4 kJ/mol of atoms. Its energy relative to the elements, uncorrected is 0.68 eV per atom.

```
&SYSTEM
  ibrav = 0, nat = 5, ntyp = 4
/
ATOMIC_SPECIES
Ge 72.64 Ge.upf
N 14.01 N.upf
Rh 102.91 Rh.upf
F 19.00 F.upf
ATOMIC_POSITIONS crystal
Ge 0.0000 0.0000 0.0000
N 0.0000 0.5000 0.0000
N 0.5000 0.0000 0.0000
Rh 0.5000 0.5000 0.5000
F 0.0000 0.0000 0.5000
CELL_PARAMETERS angstrom
-0.0615 -2.1337 -3.2015
3.6582 -1.0239 0.6122
-1.1374 -2.8964 1.9523
```

A plane-wave DFT calculation with PBE was carried out for a geometry-optimized AgHRh2Au structure. Values from VASP.

Output
The space group is No. 123. As for the size of the total moment: 0.68 Bohr magnetons per cell. As for the energy relative to the lowest polymorph listed for this composition: 2.7 kJ/mol of atoms.

```
&SYSTEM
  ibrav = 0, nat = 5, ntyp = 4
/
ATOMIC_SPECIES
Rh 102.91 Rh.upf
Au 196.97 Au.upf
Ag 107.87 Ag.upf
H 1.01 H.upf
ATOMIC_POSITIONS crystal
Rh 0.0000 0.5000 0.0000
Rh 0.5000 0.0000 0.0000
Au 0.0000 0.0000 0.5000
Ag 0.5000 0.5000 0.5000
H 0.0000 0.0000 0.0000
CELL_PARAMETERS angstrom
3.9440 0.0000 0.0000
0.0000 3.9440 0.0000
0.0000 0.0000 4.2904
```

A plane-wave DFT calculation with PBE was carried out for a geometry-optimized Cd2CuPb structure. Values from VASP.

Output
The space group is No. 44. As for the size of the total moment: 0.00 Bohr magnetons per cell. The value obtained for the formation energy is 0.09 eV per atom.

```
&SYSTEM
  ibrav = 0, nat = 4, ntyp = 3
/
ATOMIC_SPECIES
Pb 207.20 Pb.upf
Cu 63.55 Cu.upf
Cd 112.41 Cd.upf
ATOMIC_POSITIONS crystal
Pb 0.3132 0.8132 0.5000
Cu 0.5024 0.5024 0.0000
Cd 0.0091 0.0091 0.0000
Cd 0.6753 0.1753 0.5000
CELL_PARAMETERS angstrom
7.1828 0.0354 -0.0315
5.0663 5.0919 0.0315
-5.7385 -3.4859 2.5521
```

A plane-wave DFT calculation with PBE was carried out for a geometry-optimized Y4TlPbC structure. Values from VASP.

Output
The space group is No. 63. As for the size of the total moment: 0.00 Bohr magnetons per cell. The value obtained for the formation energy is -0.47 eV per atom.

```
&SYSTEM
  ibrav = 0, nat = 14, ntyp = 4
/
ATOMIC_SPECIES
Y 88.91 Y.upf
Tl 204.38 Tl.upf
Pb 207.20 Pb.upf
C 12.01 C.upf
ATOMIC_POSITIONS crystal
Y 0.9115 0.2500 0.8229
Y 0.4095 0.7500 0.8191
Y 0.0885 0.7500 0.1771
Y 0.5905 0.2500 0.1809
Y 0.5000 0.5000 0.5000
Y 0.0000 0.0000 0.5000
Y 0.5000 0.0000 0.5000
Y 0.0000 0.5000 0.5000
Tl 0.1117 0.2500 0.2233
Tl 0.8883 0.7500 0.7767
Pb 0.6096 0.7500 0.2193
Pb 0.3904 0.2500 0.7807
C 0.2494 0.7500 0.4988
C 0.7506 0.2500 0.5012
CELL_PARAMETERS angstrom
-4.2549 5.2245 1.3370
-2.5419 -0.4425 -6.3605
-3.3774 -7.7500 1.8889
```